1.
The following is a GGA-PBE calculation of crystalline Ti6Al3Ir at its relaxed geometry, from the Alexandria database.

Cell: 4.561 7.638 9.747 Å, 109.60 90.00 90.00°
Fractional coordinates of all 20 atoms:
Ti 0.250 0.455 0.082
Ti 0.750 0.545 0.918
Ti 0.250 0.153 0.186
Ti 0.750 0.847 0.814
Ti 0.250 0.664 0.681
Ti 0.750 0.336 0.319
Ti 0.250 0.246 0.486
Ti 0.750 0.754 0.514
Ti 0.250 0.854 0.292
Ti 0.750 0.146 0.708
Ti 0.250 0.067 0.881
Ti 0.750 0.933 0.119
Al 0.250 0.545 0.377
Al 0.750 0.455 0.623
Al 0.250 0.368 0.780
Al 0.750 0.632 0.220
Al 0.250 0.769 0.978
Al 0.750 0.231 0.022
Ir 0.250 0.953 0.596
Ir 0.750 0.047 0.404

Calculated values
size of the total moment	0.00	Bohr magnetons per cell
mass density	5.817	g/cm³
final energy	-143.569	eV for the cell shown
calculated formation energy	-0.43	eV/atom


2.
The following is a GGA-PBE calculation of crystalline UMnCrSi at its relaxed geometry, from the Alexandria database.

Cell: 4.336 4.336 4.336 Å, 60.00 60.00 60.00°
Site moments in Bohr magnetons follow the coordinates.
Fractional coordinates of all 4 atoms:
Cr 0.000 0.000 0.000  0.63
Si 0.750 0.750 0.750  -0.01
Mn 0.500 0.500 0.500  0.56
U 0.250 0.250 0.250  0.83

Calculated values
formation energy without anion corrections	-0.0329	eV/atom
size of the total moment	2.05	Bohr magnetons per cell
mass density	10.744	g/cm³
final energy	-35.636	eV for the cell shown


3.
The following is a GGA-PBE calculation of crystalline NdHo2Rh2 at its relaxed geometry, from the Alexandria database.

Cell: 4.508 4.508 7.049 Å, 111.27 111.28 89.98°
Fractional coordinates of all 5 atoms:
Nd 0.000 0.000 0.000
Ho 0.247 0.753 0.500
Ho 0.753 0.247 0.500
Rh 0.583 0.583 0.214
Rh 0.417 0.417 0.786

Calculated values
size of the total moment	0.00	Bohr magnetons per cell
mass density	9.182	g/cm³
final energy	-31.485	eV for the cell shown
calculated formation energy	-0.57	eV/atom


4.
The following is a GGA-PBE calculation of crystalline Cd3AuF at its relaxed geometry, from the Alexandria database.

Cell: 4.706 4.706 4.706 Å, 90.00 90.00 90.00°
Fractional coordinates of all 5 atoms:
F 0.000 0.000 0.000
Au 0.500 0.500 0.500
Cd 0.000 0.500 0.000
Cd 0.000 0.000 0.500
Cd 0.500 0.000 0.000

Calculated values
formation energy without anion corrections	-0.3245	eV/atom
size of the total moment	0.00	Bohr magnetons per cell
mass density	8.814	g/cm³
final energy	-9.516	eV for the cell shown


5.
The following is a GGA-PBE calculation of crystalline KSBrN2 at its relaxed geometry, from the Alexandria database.

Cell: 4.468 4.468 5.226 Å, 90.00 90.00 90.00°
Site moments in Bohr magnetons follow the coordinates.
Fractional coordinates of all 5 atoms:
K 0.500 0.500 0.500  0.00
S 0.000 0.000 0.500  0.21
Br 0.000 0.000 0.000  0.00
N 0.000 0.500 0.000  1.05
N 0.500 0.000 0.000  1.05

Calculated values
formation energy without anion corrections	1.6160	eV/atom
size of the total moment	3.43	Bohr magnetons per cell
mass density	2.850	g/cm³
final energy	-15.469	eV for the cell shown


6.
The following is a GGA-PBE calculation of crystalline RbCa2LaPt at its relaxed geometry, from the Alexandria database.

Cell: 5.950 5.950 5.634 Å, 90.00 90.00 90.00°
Fractional coordinates of all 5 atoms:
Ca 0.000 0.500 0.000
Ca 0.500 0.000 0.000
Rb 0.500 0.500 0.500
Pt 0.000 0.000 0.000
La 0.000 0.000 0.500

Calculated values
size of the total moment	0.00	Bohr magnetons per cell
mass density	4.159	g/cm³
final energy	-17.741	eV for the cell shown
calculated formation energy	-0.36	eV/atom


7.
The following is a GGA-PBE calculation of crystalline Nb2GaAgH at its relaxed geometry, from the Alexandria database.

Cell: 4.003 4.003 4.471 Å, 90.00 90.00 90.00°
Fractional coordinates of all 5 atoms:
H 0.000 0.000 0.000
Nb 0.000 0.500 0.000
Nb 0.500 0.000 0.000
Ga 0.500 0.500 0.500
Ag 0.000 0.000 0.500

Calculated values
size of the total moment	0.00	Bohr magnetons per cell
mass density	8.446	g/cm³
final energy	-29.734	eV for the cell shown


8.
The following is a GGA-PBE calculation of crystalline LiTmGaSn at its relaxed geometry, from the Alexandria database.

Cell: 4.296 4.345 4.461 Å, 90.00 90.00 90.00°
Fractional coordinates of all 4 atoms:
Li 0.500 0.500 0.000
Tm 0.500 0.000 0.500
Ga 0.000 0.500 0.500
Sn 0.000 0.000 0.000

Calculated values
size of the total moment	0.00	Bohr magnetons per cell
mass density	7.265	g/cm³
final energy	-15.418	eV for the cell shown
calculated formation energy	-0.50	eV/atom


9.
The following is a GGA-PBE calculation of crystalline HfCoTc3 at its relaxed geometry, from the Alexandria database.

Cell: 4.420 4.420 4.420 Å, 90.00 90.00 90.00°
Site moments in Bohr magnetons follow the coordinates.
Fractional coordinates of all 5 atoms:
Co 0.000 0.000 0.000  -0.11
Hf 0.500 0.500 0.500  -0.01
Tc 0.000 0.500 0.000  -0.03
Tc 0.000 0.000 0.500  -0.04
Tc 0.500 0.000 0.000  -0.01

Calculated values
size of the total moment	0.22	Bohr magnetons per cell
mass density	10.218	g/cm³
final energy	-43.837	eV for the cell shown
calculated formation energy	0.86	eV/atom


10.
The following is a GGA-PBE calculation of crystalline CdMoAs2 at its relaxed geometry, from the Alexandria database.

Cell: 6.519 6.519 6.519 Å, 153.25 134.73 53.37°
Fractional coordinates of all 4 atoms:
Mo 0.250 0.750 0.500
As 0.076 0.076 0.000
As 0.424 0.424 0.000
Cd 0.750 0.250 0.500

Calculated values
size of the total moment	0.00	Bohr magnetons per cell
mass density	6.746	g/cm³
final energy	-20.286	eV for the cell shown
calculated formation energy	0.19	eV/atom


11.
The following is a GGA-PBE calculation of crystalline Ba2InAg4Au3 at its relaxed geometry, from the Alexandria database.

Cell: 4.595 4.595 12.199 Å, 90.00 90.00 90.00°
Fractional coordinates of all 10 atoms:
Ba 0.500 0.000 0.242
Ba 0.000 0.500 0.758
In 0.500 0.500 0.500
Ag 0.500 0.500 0.000
Ag 0.000 0.000 0.000
Ag 0.500 0.000 0.637
Ag 0.000 0.500 0.363
Au 0.000 0.000 0.500
Au 0.500 0.000 0.862
Au 0.000 0.500 0.138

Calculated values
size of the total moment	0.00	Bohr magnetons per cell
mass density	9.102	g/cm³
final energy	-31.271	eV for the cell shown
calculated formation energy	-0.35	eV/atom


12.
The following is a GGA-PBE calculation of crystalline Ba2Ac4Sn3O2 at its relaxed geometry, from the Alexandria database.

Cell: 5.227 5.227 14.345 Å, 100.50 100.50 90.00°
Fractional coordinates of all 11 atoms:
Ba 0.300 0.300 0.600
Ba 0.700 0.700 0.400
Ac 0.416 0.916 0.832
Ac 0.916 0.416 0.832
Ac 0.084 0.584 0.168
Ac 0.584 0.084 0.168
Sn 0.000 0.000 0.000
Sn 0.168 0.168 0.336
Sn 0.832 0.832 0.664
O 0.406 0.406 0.813
O 0.594 0.594 0.187

Calculated values
formation energy without anion corrections	-1.4159	eV/atom
size of the total moment	0.00	Bohr magnetons per cell
mass density	6.889	g/cm³
final energy	-57.779	eV for the cell shown


13.
The following is a GGA-PBE calculation of crystalline CaEuS2 at its relaxed geometry, from the Alexandria database.

Cell: 4.101 4.101 5.813 Å, 90.00 90.00 90.00°
Site moments in Bohr magnetons follow the coordinates.
Fractional coordinates of all 4 atoms:
Eu 0.500 0.500 0.500  6.79
Ca 0.000 0.000 0.000  0.02
S 0.000 0.000 0.500  -0.06
S 0.500 0.500 0.000  -0.03

Calculated values
formation energy without anion corrections	-2.1350	eV/atom
size of the total moment	7.00	Bohr magnetons per cell
mass density	4.350	g/cm³
final energy	-29.071	eV for the cell shown


14.
The following is a GGA-PBE calculation of crystalline YTm2ThSc2 at its relaxed geometry, from the Alexandria database.

Cell: 6.757 6.307 8.405 Å, 97.99 90.00 90.00°
Fractional coordinates of all 12 atoms:
Y 0.750 0.315 0.834
Y 0.250 0.685 0.166
Tm 0.500 0.193 0.183
Tm 0.000 0.193 0.183
Tm 0.000 0.807 0.817
Tm 0.500 0.807 0.817
Th 0.250 0.291 0.832
Th 0.750 0.709 0.168
Sc 0.250 0.998 0.503
Sc 0.250 0.491 0.508
Sc 0.750 0.002 0.497
Sc 0.750 0.509 0.492

Calculated values
size of the total moment	0.00	Bohr magnetons per cell
mass density	7.010	g/cm³
final energy	-68.805	eV for the cell shown
calculated formation energy	0.18	eV/atom


15.
The following is a GGA-PBE calculation of crystalline KTlP2 at its relaxed geometry, from the Alexandria database.

Cell: 5.782 5.782 3.062 Å, 90.00 90.00 113.23°
Fractional coordinates of all 4 atoms:
K 0.000 0.500 0.500
P 0.000 0.000 0.000
P 0.500 0.500 0.000
Tl 0.500 0.000 0.500

Calculated values
size of the total moment	0.00	Bohr magnetons per cell
mass density	5.392	g/cm³
final energy	-12.658	eV for the cell shown
calculated formation energy	0.41	eV/atom


16.
The following is a GGA-PBE calculation of crystalline SmEr2Tl3Se6 at its relaxed geometry, from the Alexandria database.

Cell: 7.263 7.263 8.141 Å, 98.56 98.56 119.99°
Fractional coordinates of all 12 atoms:
Sm 0.000 0.000 0.000
Er 0.333 0.667 0.000
Er 0.667 0.333 0.000
Tl 0.165 0.835 0.500
Tl 0.835 0.165 0.500
Tl 0.500 0.500 0.500
Se 0.932 0.591 0.795
Se 0.727 0.727 0.203
Se 0.068 0.409 0.205
Se 0.591 0.932 0.795
Se 0.273 0.273 0.797
Se 0.409 0.068 0.205

Calculated values
formation energy without anion corrections	-1.3804	eV/atom
size of the total moment	0.00	Bohr magnetons per cell
mass density	7.349	g/cm³
final energy	-58.415	eV for the cell shown


17.
The following is a GGA-PBE calculation of crystalline Ta2PdPt at its relaxed geometry, from the Alexandria database.

Cell: 3.971 3.971 9.643 Å, 78.12 78.12 90.00°
Fractional coordinates of all 8 atoms:
Pd 0.500 0.500 0.000
Pd 0.250 0.750 0.500
Pt 0.000 0.000 0.000
Pt 0.750 0.250 0.500
Ta 0.628 0.125 0.250
Ta 0.122 0.625 0.250
Ta 0.375 0.372 0.750
Ta 0.875 0.878 0.750

Calculated values
size of the total moment	0.00	Bohr magnetons per cell
mass density	15.148	g/cm³
final energy	-68.786	eV for the cell shown
calculated formation energy	0.14	eV/atom


18.
The following is a GGA-PBE calculation of crystalline Ti5AlSb4 at its relaxed geometry, from the Alexandria database.

Cell: 5.003 9.729 8.453 Å, 90.00 90.00 90.00°
Fractional coordinates of all 20 atoms:
Ti 0.246 0.736 0.672
Ti 0.246 0.264 0.672
Ti 0.507 0.500 0.000
Ti 0.246 0.736 0.328
Ti 0.246 0.264 0.328
Ti 0.754 0.764 0.172
Ti 0.754 0.236 0.172
Ti 0.493 0.000 0.500
Ti 0.754 0.236 0.828
Ti 0.754 0.764 0.828
Al 0.699 0.000 0.000
Al 0.301 0.500 0.500
Sb 0.002 0.000 0.686
Sb 0.271 0.784 0.000
Sb 0.271 0.216 0.000
Sb 0.002 0.000 0.314
Sb 0.998 0.500 0.186
Sb 0.729 0.716 0.500
Sb 0.729 0.284 0.500
Sb 0.998 0.500 0.814

Calculated values
formation energy without anion corrections	-0.2242	eV/atom
size of the total moment	0.00	Bohr magnetons per cell
mass density	6.081	g/cm³
final energy	-123.898	eV for the cell shown


19.
The following is a GGA-PBE calculation of crystalline TiRh2NCl at its relaxed geometry, from the Alexandria database.

Cell: 3.816 5.528 3.816 Å, 90.00 90.00 90.00°
Fractional coordinates of all 5 atoms:
N 0.000 0.000 0.000
Cl 0.000 0.500 0.000
Rh 0.000 0.000 0.500
Rh 0.500 0.000 0.000
Ti 0.500 0.500 0.500

Calculated values
formation energy without anion corrections	0.1799	eV/atom
size of the total moment	0.00	Bohr magnetons per cell
mass density	6.254	g/cm³
final energy	-31.870	eV for the cell shown


20.
The following is a GGA-PBE calculation of crystalline SrRhCl at its relaxed geometry, from the Alexandria database.

Cell: 3.655 11.159 3.655 Å, 89.95 90.00 90.00°
Fractional coordinates of all 6 atoms:
Sr 0.619 0.675 0.417
Sr 0.119 0.208 0.909
Rh 0.613 0.417 0.416
Rh 0.113 0.466 0.916
Cl 0.119 0.805 0.916
Cl 0.619 0.078 0.410

Calculated values
formation energy without anion corrections	-1.1080	eV/atom
size of the total moment	0.00	Bohr magnetons per cell
mass density	5.035	g/cm³
final energy	-28.408	eV for the cell shown